LiTc2Hg | PBE-GGA | optimized geometry

```
data_LiTc2Hg
_chemical_formula_sum 'Li1 Tc2 Hg1'
_symmetry_space_group_name_H-M 'P 1'
_symmetry_Int_Tables_number 1
_symmetry_space_group_name_Hall 'P 1'
_cell_length_a 3.070
_cell_length_b 3.070
_cell_length_c 6.695
_cell_angle_alpha 90.00
_cell_angle_beta 90.00
_cell_angle_gamma 90.00
loop_
_atom_site_label
_atom_site_fract_x
_atom_site_fract_y
_atom_site_fract_z
Li1 0.000 0.000 0.000
Tc1 0.000 0.000 0.444
Tc2 0.500 0.500 0.249
Hg1 0.500 0.500 0.766
```

* total moment: 0.00 Bohr magnetons per cell
* space-group type: P4mm, No. 99
* D(E_F): 3.73 states/eV/f.u.
* calculated total energy: -5.608 eV/atom